DFT (PBE) results for a relaxed Ac2MgGa12Ni3 crystal.

Calculated values
As for the energy of formation from the pure elements: -0.0707 eV per atom. As for the total magnetic moment: 0.00 μB per cell.

Unit cell a=8.8132 b=8.8132 c=18.6150 alpha=90.00 beta=90.00 gamma=120.00
Space group R-3m (No. 166, hexagonal axes)
Symmetry-distinct sites (fractional):
1 Ac 0.0000 0.0000 0.0971
2 Mg 0.0000 0.0000 0.5000
3 Ga 0.0129 0.5064 0.8741
4 Ga 0.0823 0.5412 0.3238
5 Ni 0.0000 0.5000 0.0000


DFT (PBE) results for a relaxed Ac3Mg2Ga4Ni2 crystal.

Calculated values
As for the energy of formation from the pure elements: -0.3286 eV per atom. As for the total magnetic moment: 0.00 μB per cell.

Unit cell a=4.3743 b=4.3743 c=16.7671 alpha=90.00 beta=90.00 gamma=120.00
Space group P-3m1 (No. 164)
Symmetry-distinct sites (fractional):
1 Ac 0.0000 0.0000 0.0000
2 Ac 0.0000 0.0000 0.2533
3 Mg 0.3333 0.6667 0.5552
4 Ga 0.3333 0.6667 0.3799
5 Ga 0.3333 0.6667 0.8726
6 Ni 0.3333 0.6667 0.1296


DFT (PBE) results for a relaxed AcMgGaNi crystal.

Calculated values
As for the energy of formation from the pure elements: -0.1673 eV per atom. As for the total magnetic moment: 0.00 μB per cell.

Unit cell a=7.129 b=7.129 c=7.129 alpha=90.00 beta=90.00 gamma=90.00
Space group F-43m (No. 216)
Symmetry-distinct sites (fractional):
1 Ac 0.000 0.000 0.000
2 Mg 0.000 0.000 0.500
3 Ga 0.250 0.250 0.750
4 Ni 0.250 0.250 0.250


DFT (PBE) results for a relaxed AcMg2Ga2Ni crystal.

Calculated values
As for the energy of formation from the pure elements: -0.1635 eV per atom. As for the total magnetic moment: 0.00 μB per cell.

Unit cell a=4.213 b=4.213 c=16.629 alpha=90.00 beta=90.00 gamma=90.00
Space group I4/mmm (No. 139)
Symmetry-distinct sites (fractional):
1 Ac 0.000 0.000 0.000
2 Mg 0.000 0.500 0.250
3 Ga 0.000 0.000 0.362
4 Ni 0.000 0.000 0.500


DFT (PBE) results for a relaxed AcMgGa2O6 crystal.

Calculated values
The calculation puts the total energy at -253.39 eV/cell. As for the total magnetic moment: 4.26 μB per cell.

Unit cell a=8.879 b=11.369 c=6.523 alpha=90.00 beta=117.15 gamma=90.00
Space group C2/c (No. 15)
Symmetry-distinct sites (fractional):
1 Ac 0.000 0.108 0.250
2 Mg 0.000 0.203 0.750
3 Ga 0.134 0.425 0.170
4 O 0.108 0.268 0.065
5 O 0.122 0.445 0.466
6 O 0.126 0.076 0.677


DFT (PBE) results for a relaxed Ac2MgGaO6 crystal.

Calculated values
The calculation puts the total energy at -138.52 eV/cell. As for the total magnetic moment: 0.01 μB per cell.

Unit cell a=9.864 b=5.592 c=5.768 alpha=90.00 beta=125.46 gamma=90.00
Space group C2/m (No. 12)
Symmetry-distinct sites (fractional):
1 Ac 0.249 0.000 0.246
2 Mg 0.000 0.000 0.500
3 Ga 0.000 0.500 0.000
4 O 0.037 0.253 0.792
5 O 0.245 0.500 0.313